Entry 1:
DFT (SCAN) results for RbGa3Cl at its PBEsol-relaxed geometry.

Results
VASP energy in eV/atom: -15.387
Energy relative to the elements, uncorrected in eV per atom: 0.16
Density in g/cm³: 3.4

Cell: 5.427 5.427 5.427 Å, 90.00 90.00 90.00°
Positions (direct):
Rb 0.500 0.500 0.500
Ga 0.000 0.000 0.500
Ga 0.000 0.500 0.000
Ga 0.500 0.000 0.000
Cl 0.000 0.000 0.000

Entry 2:
DFT (SCAN) results for Rb3GaCl at its PBEsol-relaxed geometry.

Results
VASP energy in eV/atom: -17.929
Energy relative to the elements, uncorrected in eV per atom: -0.62
Density in g/cm³: 2.5

Cell: 6.226 6.226 6.226 Å, 90.00 90.00 90.00°
Positions (direct):
Rb 0.000 0.500 0.000
Rb 0.500 0.000 0.000
Rb 0.000 0.000 0.500
Ga 0.500 0.500 0.500
Cl 0.000 0.000 0.000

- The lowest density belongs to which entry?
  Rb3GaCl

- Among the records above, which one has the lowest density?
  Rb3GaCl